Below is a relaxed structure of La8Bi4SbTe3, with properties calculated at the PBE level.

Geometry as POSCAR:
```
La8Bi4SbTe3
1.0
9.313 0.000 0.000
0.000 9.293 -0.021
-4.657 -4.653 6.589
Sb Bi Te La
1 4 3 8
Cartesian
0.000 4.646 -0.010
0.000 0.000 0.000
-2.328 -2.327 3.294
2.328 -2.327 3.294
4.657 0.000 0.000
2.328 2.320 3.284
4.657 4.646 -0.010
-2.328 2.320 3.284
0.000 4.651 3.251
0.000 -0.013 3.282
-2.352 -2.314 6.578
2.352 -2.314 6.578
7.009 6.954 -0.010
2.305 6.954 -0.010
4.657 4.653 3.286
4.657 -0.011 3.317
```

Properties
As for the uncorrected formation energy: -1310.7 meV per atom. For the total magnetic moment, the calculation gives 0.0 Bohr magnetons per cell.

Below is a relaxed structure of La4BiSbTe2, with properties calculated at the PBE level.

Geometry as POSCAR:
```
La4BiSbTe2
1.0
-0.418 -3.126 -3.399
0.062 -5.885 5.404
-7.511 -1.567 2.366
La Te Bi Sb
4 2 1 1
Cartesian
-2.302 -5.011 -1.434
-5.565 -5.568 5.805
-5.786 -4.233 1.442
-2.081 -6.345 2.928
-3.965 -2.347 -0.517
-7.511 -1.567 2.366
-0.178 -4.505 1.002
-3.724 -3.726 3.885
```

Properties
As for the uncorrected formation energy: -1408.1 meV per atom. For the total magnetic moment, the calculation gives 0.0 Bohr magnetons per cell.

Below is a relaxed structure of La6Bi3SbTe2, with properties calculated at the PBE level.

Geometry as POSCAR:
```
La6Bi3SbTe2
1.0
-0.577 -2.986 -3.529
6.566 -5.511 3.589
-8.219 -1.950 6.070
Bi La Te Sb
3 6 2 1
Cartesian
2.613 -5.747 4.435
-4.844 -4.700 1.694
2.994 -4.248 0.030
-2.959 -4.593 4.370
-7.177 -6.284 3.416
0.728 -5.855 1.759
4.946 -4.163 2.714
0.326 -7.376 6.188
-2.557 -3.071 -0.059
-1.582 -7.455 3.492
-0.649 -2.992 2.638
-0.289 -1.493 -1.765
```

Properties
As for the uncorrected formation energy: -1296.0 meV per atom. For the total magnetic moment, the calculation gives 0.0 Bohr magnetons per cell.

Below is a relaxed structure of La6BiSb2Te3, with properties calculated at the PBE level.

Geometry as POSCAR:
```
La6BiSb2Te3
1.0
-3.166 2.664 2.069
4.074 -1.483 8.142
6.259 6.896 -4.472
La Sb Bi Te
6 2 1 3
Cartesian
1.047 -0.334 2.030
4.816 4.829 1.151
6.822 4.125 5.126
0.346 3.952 0.613
6.121 8.410 3.709
2.352 3.247 4.588
4.249 5.825 4.173
2.919 2.252 1.566
-1.583 1.332 1.035
0.454 0.590 5.106
2.224 6.586 0.096
4.944 1.491 5.644
```

Properties
As for the uncorrected formation energy: -1431.3 meV per atom. For the total magnetic moment, the calculation gives 0.0 Bohr magnetons per cell.

Below is a relaxed structure of La4BiSb2Te, with properties calculated at the PBE level.

Geometry as POSCAR:
```
La4BiSb2Te
1.0
-2.978 -2.651 -2.370
-0.057 -5.318 6.020
-5.817 1.900 5.185
La Sb Bi Te
4 2 1 1
Cartesian
-5.887 -1.183 4.182
-4.454 -3.471 0.402
-2.965 -4.886 4.652
-4.398 -2.598 8.433
-5.817 1.900 5.185
-4.398 -0.376 1.407
-1.518 -3.984 1.825
-2.937 -1.709 5.602
```

Properties
As for the uncorrected formation energy: -1335.8 meV per atom. For the total magnetic moment, the calculation gives 0.0 Bohr magnetons per cell.

Below is a relaxed structure of La6Bi3Sb2Te, with properties calculated at the PBE level.

Geometry as POSCAR:
```
La6Bi3Sb2Te
1.0
-1.706 0.380 4.320
-7.978 -3.912 -2.806
6.434 -8.148 0.743
Sb Bi La Te
2 3 6 1
Cartesian
-0.794 -3.945 0.033
-2.455 -7.735 2.223
1.555 -5.788 3.636
-4.804 -5.892 -1.379
-4.842 -1.766 0.757
-1.249 -10.665 2.957
-3.605 -4.754 1.508
0.321 -2.824 2.888
0.356 -6.926 0.749
-3.570 -8.856 -0.632
-2.000 -1.015 -0.701
-0.853 0.190 2.160
```

Properties
As for the uncorrected formation energy: -1241.2 meV per atom. For the total magnetic moment, the calculation gives 0.0 Bohr magnetons per cell.

Below is a relaxed structure of LaScBi, with properties calculated at the PBE level.

Geometry as POSCAR:
```
LaScBi
1.0
-0.368 0.718 3.905
-3.847 -1.034 -0.172
3.507 -5.234 -0.742
Sc Bi La
1 1 1
Cartesian
-1.705 -1.711 2.190
0.727 -2.801 0.584
-0.859 -4.970 2.869
```

Properties
As for the energy relative to the elements: -444 meV/atom. For the total magnetic moment, the calculation gives 1.1 Bohr magnetons per cell.

Below is a relaxed structure of LaSc3Bi, with properties calculated at the PBE level.

Geometry as POSCAR:
```
LaSc3Bi
1.0
-1.200 1.723 -5.123
-4.318 -3.463 -0.153
-3.252 3.962 2.094
La Bi Sc
1 1 3
Cartesian
-4.385 1.111 -1.591
0.000 0.000 0.000
-2.159 -1.731 -0.077
-1.626 1.981 1.047
-0.600 0.861 -2.562
```

Properties
As for the energy relative to the elements: 278 meV/atom. For the total magnetic moment, the calculation gives 2.9 Bohr magnetons per cell.